Material: Tc2AsPt2
Method: DFT, PBE-GGA
State: relaxed

Summary:
The total moment is 0.00 μB per cell. The symmetry is P4/mbm, No. 127. The value obtained for the energy of formation from the pure elements is 0.03 eV per atom.

Cell lengths 6.3632, 6.3632, 4.0262 Å; angles 90.00, 90.00, 90.00 degrees
Element x y z (fractional)
Tc  0.1387  0.3613  0.0000
Tc  0.3613  0.8613  0.0000
Tc  0.6387  0.1387  0.0000
Tc  0.8613  0.6387  0.0000
As  0.0000  0.0000  0.0000
As  0.5000  0.5000  0.0000
Pt  0.1505  0.6505  0.5000
Pt  0.3495  0.1505  0.5000
Pt  0.6505  0.8495  0.5000
Pt  0.8495  0.3495  0.5000

Material: BaReTcMo2
Method: DFT, PBE-GGA
State: relaxed

Summary:
The total moment is 2.54 μB per cell. The symmetry is P4/mmm, No. 123. The value obtained for the energy of formation from the pure elements is 1.43 eV per atom.

Cell lengths 4.8954, 4.8954, 4.8704 Å; angles 90.00, 90.00, 90.00 degrees
Element x y z (fractional)
Ba  0.0000  0.0000  0.0000
Re  0.5000  0.5000  0.0000
Tc  0.5000  0.5000  0.5000
Mo  0.0000  0.5000  0.5000
Mo  0.5000  0.0000  0.5000

Material: Ce2NpWN6
Method: DFT, PBE-GGA
State: relaxed

Summary:
The total moment is 2.79 μB per cell. The symmetry is P4mm, No. 99. The calculation puts the uncorrected energy at -97.731 eV for the cell shown.

Cell lengths 5.7400, 5.7400, 4.3839 Å; angles 90.00, 90.00, 90.00 degrees
Element x y z (fractional)
Ce  0.0000  0.5000  0.0000
Ce  0.5000  0.0000  0.0000
Np  0.0000  0.0000  0.5991
W  0.5000  0.5000  0.5672
N  0.0000  0.0000  0.1133
N  0.2586  0.2586  0.6774
N  0.2586  0.7414  0.6774
N  0.5000  0.5000  0.1521
N  0.7414  0.2586  0.6774
N  0.7414  0.7414  0.6774

Question: Look up the total moment of the third one.
Answer: 2.79 μB per cell

Question: The highest total moment belongs to which entry?
Answer: Ce2NpWN6